A.
# CaGe3O

Crystalline CaGe3O at its relaxed geometry (GGA-PBE, Alexandria).

The structure belongs to space group Pm-3m (No. 221); the cell edges are 4.5568, 4.5568 and 4.5568 Å and the angles 90.00°, 90.00° and 90.00°. The asymmetric unit holds Ca at (0.0000, 0.0000, 0.0000), Ge at (0.0000, 0.5000, 0.5000) and O at (0.5000, 0.5000, 0.5000).

B.
# CaGe3O

Crystalline CaGe3O at its relaxed geometry (GGA-PBE, Alexandria).

The structure belongs to space group Pm-3m (No. 221); the cell edges are 5.4841, 5.4841 and 5.4841 Å and the angles 90.00°, 90.00° and 90.00°. The asymmetric unit holds Ca at (0.0000, 0.0000, 0.0000), Ge at (0.0000, 0.0000, 0.5000) and O at (0.5000, 0.5000, 0.5000).

Which structure loses on stability? B does.

A.
# CaGePO2

Crystalline CaGePO2 at its relaxed geometry (GGA-PBE, Alexandria).

The structure belongs to space group P4/mmm (No. 123); the cell edges are 4.2050, 4.2050 and 5.7961 Å and the angles 90.00°, 90.00° and 90.00°. The asymmetric unit holds Ca at (0.0000, 0.0000, 0.0000), Ge at (0.5000, 0.5000, 0.5000), P at (0.0000, 0.0000, 0.5000) and O at (0.0000, 0.5000, 0.0000).

B.
# CaGePO2

Crystalline CaGePO2 at its relaxed geometry (GGA-PBE, Alexandria).

The structure belongs to space group P4/mmm (No. 123); the cell edges are 3.9458, 3.9458 and 4.7840 Å and the angles 90.00°, 90.00° and 90.00°. The asymmetric unit holds Ca at (0.0000, 0.0000, 0.0000), Ge at (0.5000, 0.5000, 0.5000), P at (0.5000, 0.5000, 0.0000) and O at (0.0000, 0.5000, 0.5000).

Which structure loses on stability? A does.

A.
# CaGeSb2O

Crystalline CaGeSb2O at its relaxed geometry (GGA-PBE, Alexandria).

The structure belongs to space group P4/mmm (No. 123); the cell edges are 5.6872, 5.6872 and 5.5076 Å and the angles 90.00°, 90.00° and 90.00°. The asymmetric unit holds Ca at (0.0000, 0.0000, 0.0000), Ge at (0.0000, 0.0000, 0.5000), Sb at (0.0000, 0.5000, 0.0000) and O at (0.5000, 0.5000, 0.5000).

B.
# CaGeSb2O

Crystalline CaGeSb2O at its relaxed geometry (GGA-PBE, Alexandria).

The structure belongs to space group P4/mmm (No. 123); the cell edges are 5.7861, 5.7861 and 3.6390 Å and the angles 90.00°, 90.00° and 90.00°. The asymmetric unit holds Ca at (0.0000, 0.0000, 0.0000), Ge at (0.5000, 0.5000, 0.5000), Sb at (0.0000, 0.5000, 0.5000) and O at (0.5000, 0.5000, 0.0000).

Which structure loses on stability? A does.

A.
# CaTiGe2O6

Crystalline CaTiGe2O6 at its relaxed geometry (GGA-PBE, Alexandria).

The structure belongs to space group C2/c (No. 15); the cell edges are 10.9834, 8.7647 and 5.3173 Å and the angles 90.00°, 103.37° and 90.00°. The asymmetric unit holds Ca at (0.0000, 0.1647, 0.2500), Ti at (0.0000, 0.4018, 0.7500), Ge at (0.2224, 0.1268, 0.8591), O at (0.1048, 0.2634, 0.6467), O at (0.1046, 0.4145, 0.1123) and O at (0.1534, 0.0177, 0.0927).

B.
# CaTiGe2O6

Crystalline CaTiGe2O6 at its relaxed geometry (GGA-PBE, Alexandria).

The structure belongs to space group P2_1/c (No. 14); the cell edges are 12.2006, 8.7689 and 5.4210 Å and the angles 90.00°, 98.34° and 90.00°. The asymmetric unit holds Ca at (0.2303, 0.0735, 0.2033), Ti at (0.2169, 0.6590, 0.2096), Ge at (0.0306, 0.1477, 0.7168), Ge at (0.4189, 0.1384, 0.7147), O at (0.0935, 0.2223, 0.4590), O at (0.0959, 0.5218, 0.3177), O at (0.1135, 0.6511, 0.8444), O at (0.2767, 0.6726, 0.5436), O at (0.3008, 0.5091, 0.1090) and O at (0.3408, 0.2241, 0.9625).

Which structure loses on stability? A does.

A.
# Ca2TiGeP

Crystalline Ca2TiGeP at its relaxed geometry (GGA-PBE, Alexandria).

The structure belongs to space group P4/mmm (No. 123); the cell edges are 5.3134, 5.3134 and 4.7000 Å and the angles 90.00°, 90.00° and 90.00°. The asymmetric unit holds Ca at (0.0000, 0.5000, 0.0000), Ti at (0.0000, 0.0000, 0.5000), Ge at (0.5000, 0.5000, 0.5000) and P at (0.0000, 0.0000, 0.0000).

B.
# Ca2TiGeP

Crystalline Ca2TiGeP at its relaxed geometry (GGA-PBE, Alexandria).

The structure belongs to space group P4/mmm (No. 123); the cell edges are 5.7110, 5.7110 and 4.5750 Å and the angles 90.00°, 90.00° and 90.00°. The asymmetric unit holds Ca at (0.0000, 0.5000, 0.0000), Ti at (0.0000, 0.0000, 0.0000), Ge at (0.5000, 0.5000, 0.5000) and P at (0.0000, 0.0000, 0.5000).

Which structure loses on stability? B does.

A.
# Ca2GePb

Crystalline Ca2GePb at its relaxed geometry (GGA-PBE, Alexandria).

The structure belongs to space group P4/mmm (No. 123); the cell edges are 4.8667, 4.8667 and 4.5076 Å and the angles 90.00°, 90.00° and 90.00°. The asymmetric unit holds Ca at (0.0000, 0.5000, 0.0000), Ge at (0.0000, 0.0000, 0.5000) and Pb at (0.5000, 0.5000, 0.5000).

B.
# Ca2GePb

Crystalline Ca2GePb at its relaxed geometry (GGA-PBE, Alexandria).

The structure belongs to space group R-3m (No. 166, hexagonal axes); the cell edges are 3.8064, 3.8064 and 31.4869 Å and the angles 90.00°, 90.00° and 120.00°. The asymmetric unit holds Ca at (0.0000, 0.0000, 0.1026), Ge at (0.0000, 0.0000, 0.5000) and Pb at (0.0000, 0.0000, 0.0000).

Which structure loses on stability? B does.